No. 1
Density functional theory data (PBE-GGA) for a relaxed structure of SrSmIr.

Cell and atoms, written as POSCAR:
```
SrSmIr
1.0
4.9949 0.0000 0.0000
2.4975 4.3257 0.0000
2.4975 1.4419 4.0783
Sm Ir Sr
1 1 1
Direct
0.5000 0.5000 0.5000
0.2500 0.2500 0.2500
0.0000 0.0000 0.0000
```

Energy above the lowest structure with this stoichiometry, eV/atom: 0.006
Space-group type: F-43m, No. 216
Density of states at the Fermi level, states/eV/f.u.: 1.2
ΔE_f, eV per atom: -0.33
Total moment, μB per atom: 0.0000

No. 2
Density functional theory data (PBE-GGA) for a relaxed structure of SrSm2Ir.

Cell and atoms, written as POSCAR:
```
SrSm2Ir
1.0
4.1325 0.0000 0.0000
2.0662 3.5788 0.0000
2.0662 1.1929 11.0257
Sm Sr Ir
2 1 1
Direct
0.1222 0.1222 0.6333
0.8778 0.8778 0.3667
0.0000 0.0000 0.0000
0.5000 0.5000 0.5000
```

Energy above the lowest structure with this stoichiometry, eV/atom: 0.123
Space-group type: R-3m, No. 166
Density of states at the Fermi level, states/eV/f.u.: 3.9
ΔE_f, eV per atom: -0.26
Total moment, μB per atom: 0.0000

No. 3
Density functional theory data (PBE-GGA) for a relaxed structure of SrSm2Ir.

Cell and atoms, written as POSCAR:
```
SrSm2Ir
1.0
3.6059 0.0000 0.0000
0.0000 3.6059 0.0000
0.0000 0.0000 9.9888
Sm Ir Sr
2 1 1
Direct
0.0000 0.0000 0.8386
0.0000 0.0000 0.1614
0.5000 0.5000 0.0000
0.5000 0.5000 0.5000
```

Energy above the lowest structure with this stoichiometry, eV/atom: 0.091
Space-group type: P4/mmm, No. 123
Density of states at the Fermi level, states/eV/f.u.: 2.8
ΔE_f, eV per atom: -0.30
Total moment, μB per atom: 0.0000

No. 4
Density functional theory data (PBE-GGA) for a relaxed structure of SrSm3Ir8.

Cell and atoms, written as POSCAR:
```
SrSm3Ir8
1.0
5.1941 0.0000 1.5680
2.3604 4.6268 1.5680
-0.0031 -0.0019 9.3974
Ir Sm Sr
8 3 1
Direct
0.4379 0.9404 0.1839
0.6875 0.6875 0.9376
0.9374 0.9374 0.6910
0.9404 0.4379 0.1839
0.1874 0.1874 0.4377
0.4343 0.9374 0.6910
0.9374 0.4343 0.6910
0.4379 0.4379 0.1839
0.9987 0.9987 0.0039
0.5013 0.5013 0.4962
0.3754 0.3754 0.8738
0.8746 0.8746 0.3763
```

Space-group type: R3m, No. 160
Density of states at the Fermi level, states/eV/f.u.: 13.7
ΔE_f, eV per atom: -0.62
Total moment, μB per atom: 0.0000

No. 5
Density functional theory data (PBE-GGA) for a relaxed structure of SrSm2Ir.

Cell and atoms, written as POSCAR:
```
SrSm2Ir
1.0
4.2176 0.0000 0.0000
2.1088 3.6525 0.0000
2.1088 1.2175 9.5177
Sm Ir Sr
2 1 1
Direct
0.2831 0.2831 0.1507
0.0493 0.0493 0.8520
0.6662 0.6662 0.0013
0.5013 0.5013 0.4960
```

Energy above the lowest structure with this stoichiometry, eV/atom: 0.000
Space-group type: R3m, No. 160
Density of states at the Fermi level, states/eV/f.u.: 4.4
ΔE_f, eV per atom: -0.39
Total moment, μB per atom: 0.0001

No. 6
Density functional theory data (PBE-GGA) for a relaxed structure of SmTa2Ir2.

Cell and atoms, written as POSCAR:
```
SmTa2Ir2
1.0
4.4497 0.0000 0.0000
0.0000 4.4497 0.0000
-2.2248 -2.2248 5.2900
Ta Ir Sm
2 2 1
Direct
0.7500 0.2500 0.5000
0.2500 0.7500 0.5000
0.6251 0.6251 0.2503
0.3749 0.3749 0.7497
0.0000 0.0000 0.0000
```

Space-group type: I4/mmm, No. 139
Density of states at the Fermi level, states/eV/f.u.: 2.6
ΔE_f, eV per atom: -0.62
Total moment, μB per atom: 0.0000

No. 7
Density functional theory data (PBE-GGA) for a relaxed structure of SmTaTiIr2.

Cell and atoms, written as POSCAR:
```
SmTaTiIr2
1.0
4.3737 0.0000 0.0000
0.0000 4.3737 0.0000
-2.1868 -2.1868 5.3128
Ir Ti Ta Sm
2 1 1 1
Direct
0.3770 0.3770 0.7540
0.6230 0.6230 0.2460
0.2500 0.7500 0.5000
0.7500 0.2500 0.5000
0.0000 0.0000 0.0000
```

Space-group type: I-4m2, No. 119
Density of states at the Fermi level, states/eV/f.u.: 3.4
ΔE_f, eV per atom: -0.73
Total moment, μB per atom: 0.0000

No. 8
Density functional theory data (PBE-GGA) for a relaxed structure of Tb2SmIr2.

Cell and atoms, written as POSCAR:
```
Tb2SmIr2
1.0
-2.3400 2.6567 -3.2802
1.4424 -0.0300 -4.6056
-3.7130 -4.6679 -1.1340
Ir Tb Sm
2 2 1
Direct
0.8333 0.3333 0.1758
0.1667 0.6667 0.8242
0.8334 0.3334 0.6627
0.1666 0.6666 0.3373
0.5000 0.0000 0.0000
```

Energy above the lowest structure with this stoichiometry, eV/atom: 0.000
Space-group type: P-3m1, No. 164
Density of states at the Fermi level, states/eV/f.u.: 3.3
ΔE_f, eV per atom: -0.72
Total moment, μB per atom: 0.0000